1.
Below is an optimized crystal structure of SrInAgS3, with properties calculated at the PBE level.

Unit cell a=3.972 b=13.122 c=10.322 alpha=90.00 beta=90.00 gamma=90.00
Space group Cmcm (No. 63)
Inequivalent atoms, fractional coordinates:
Sr 0.000 0.247 0.250 x4
In 0.000 0.500 0.000 x4
Ag 0.000 0.041 0.750 x4
S 0.000 0.137 0.541 x8
S 0.000 0.417 0.750 x4

Properties
Distance to the lowest polymorph of the same formula = 35 meV per atom
VASP energy = -99.05 eV/cell
Crystal system = orthorhombic

2.
Below is an optimized crystal structure of PmHgSeO, with properties calculated at the PBE level.

Unit cell a=7.644 b=6.745 c=6.568 alpha=90.00 beta=93.97 gamma=90.00
Space group P2_1/c (No. 14)
Inequivalent atoms, fractional coordinates:
Pm 0.093 0.041 0.267 x4
Hg 0.485 0.698 0.993 x4
Se 0.285 0.010 0.880 x4
O 0.004 0.715 0.971 x4

Properties
Distance to the lowest polymorph of the same formula = 204 meV per atom
VASP energy = -79.91 eV/cell
Crystal system = monoclinic

3.
Below is an optimized crystal structure of GdTm2Mg3InGa2, with properties calculated at the PBE level.

Unit cell a=4.539 b=12.676 c=7.261 alpha=90.00 beta=90.00 gamma=90.00
Space group Amm2 (No. 38)
Inequivalent atoms, fractional coordinates:
Gd 0.000 0.000 0.000 x2
Tm 0.000 0.219 0.343 x4
Mg 0.500 0.000 0.312 x2
Mg 0.500 0.125 0.686 x4
In 0.000 0.000 0.558 x2
Ga 0.500 0.168 0.062 x4

Properties
VASP energy = -62.14 eV/cell
Crystal system = orthorhombic

4.
Below is an optimized crystal structure of NaSmMgTe3, with properties calculated at the PBE level.

Unit cell a=11.934 b=4.463 c=14.824 alpha=90.00 beta=90.00 gamma=90.00
Space group Pnma (No. 62)
Inequivalent atoms, fractional coordinates:
Na 0.230 0.250 0.014 x4
Sm 0.010 0.750 0.746 x4
Mg 0.240 0.750 0.225 x4
Te 0.054 0.750 0.114 x4
Te 0.079 0.250 0.608 x4
Te 0.241 0.250 0.340 x4

Properties
Distance to the lowest polymorph of the same formula = 8 meV per atom
VASP energy = -94.75 eV/cell
Crystal system = orthorhombic

5.
Below is an optimized crystal structure of Lu2MgSb, with properties calculated at the PBE level.

Unit cell a=7.446 b=7.446 c=7.446 alpha=90.00 beta=90.00 gamma=90.00
Space group F-43m (No. 216)
Inequivalent atoms, fractional coordinates:
Lu 0.000 0.000 0.000 x4
Lu 0.250 0.250 0.250 x4
Mg 0.250 0.250 0.750 x4
Sb 0.000 0.000 0.500 x4

Properties
VASP energy = -59.22 eV/cell
Crystal system = cubic

6.
Below is an optimized crystal structure of LuFeAgPb, with properties calculated at the PBE level.

Unit cell a=6.863 b=6.863 c=6.863 alpha=90.00 beta=90.00 gamma=90.00
Space group F-43m (No. 216)
Inequivalent atoms, fractional coordinates:
Lu 0.000 0.000 0.000 x4
Fe 0.250 0.250 0.750 x4
Ag 0.250 0.250 0.250 x4
Pb 0.000 0.000 0.500 x4

Properties
Distance to the lowest polymorph of the same formula = 3 meV per atom
VASP energy = -75.86 eV/cell
Crystal system = cubic

7.
Below is an optimized crystal structure of NaPdAuS3, with properties calculated at the PBE level.

Unit cell a=3.580 b=14.187 c=9.880 alpha=90.00 beta=90.00 gamma=90.00
Space group Cmcm (No. 63)
Inequivalent atoms, fractional coordinates:
Na 0.000 0.203 0.250 x4
Pd 0.000 0.500 0.000 x4
Au 0.000 0.126 0.750 x4
S 0.000 0.114 0.517 x8
S 0.000 0.452 0.750 x4

Properties
VASP energy = -95.14 eV/cell
Crystal system = orthorhombic

8.
Below is an optimized crystal structure of Ga2CoHg, with properties calculated at the PBE level.

Unit cell a=6.417 b=6.417 c=6.417 alpha=90.00 beta=90.00 gamma=90.00
Space group F-43m (No. 216)
Inequivalent atoms, fractional coordinates:
Ga 0.000 0.000 0.000 x4
Ga 0.250 0.250 0.250 x4
Co 0.250 0.250 0.750 x4
Hg 0.000 0.000 0.500 x4

Properties
VASP energy = -48.03 eV/cell
Crystal system = cubic

9.
Below is an optimized crystal structure of CsRbHfAg2Te4, with properties calculated at the PBE level.

Unit cell a=6.604 b=6.590 c=8.227 alpha=90.00 beta=112.85 gamma=90.00
Space group P2 (No. 3)
Inequivalent atoms, fractional coordinates:
Cs 0.000 0.000 0.000 x1
Rb 0.500 0.486 0.000 x1
Hf 0.500 0.739 0.500 x1
Ag 0.000 0.742 0.500 x1
Ag 0.500 0.241 0.500 x1
Te 0.157 0.502 0.286 x2
Te 0.367 0.978 0.715 x2

Properties
VASP energy = -36.98 eV/cell
Crystal system = monoclinic

10.
Below is an optimized crystal structure of LuMgTcW, with properties calculated at the PBE level.

Unit cell a=6.582 b=6.582 c=6.582 alpha=90.00 beta=90.00 gamma=90.00
Space group F-43m (No. 216)
Inequivalent atoms, fractional coordinates:
Lu 0.000 0.000 0.000 x4
Mg 0.250 0.250 0.250 x4
Tc 0.000 0.000 0.500 x4
W 0.250 0.250 0.750 x4

Properties
Distance to the lowest polymorph of the same formula = 8 meV per atom
VASP energy = -114.08 eV/cell
Crystal system = cubic

11.
Below is an optimized crystal structure of LuTlCuS3, with properties calculated at the PBE level.

Unit cell a=8.646 b=3.862 c=9.147 alpha=90.00 beta=108.63 gamma=90.00
Space group P2_1/m (No. 11)
Inequivalent atoms, fractional coordinates:
Lu 0.175 0.250 0.144 x2
Tl 0.291 0.750 0.771 x2
Cu 0.416 0.750 0.398 x2
S 0.035 0.250 0.840 x2
S 0.307 0.250 0.462 x2
S 0.385 0.750 0.136 x2

Properties
VASP energy = -58.00 eV/cell
Crystal system = monoclinic

12.
Below is an optimized crystal structure of Cu2SnHgTeSe3, with properties calculated at the PBE level.

Unit cell a=8.496 b=8.520 c=7.251 alpha=90.00 beta=125.60 gamma=90.00
Space group Cm (No. 8)
Inequivalent atoms, fractional coordinates:
Cu 0.000 0.239 0.000 x4
Sn 0.021 0.000 0.519 x2
Hg 0.001 0.500 0.516 x2
Te 0.115 0.500 0.219 x2
Se 0.108 0.000 0.225 x2
Se 0.148 0.244 0.794 x4

Properties
VASP energy = -54.54 eV/cell
Crystal system = monoclinic

13.
Below is an optimized crystal structure of Tb2NdAg4Ge4, with properties calculated at the PBE level.

Unit cell a=4.352 b=7.227 c=14.633 alpha=90.00 beta=90.00 gamma=90.00
Space group Immm (No. 71)
Inequivalent atoms, fractional coordinates:
Tb 0.000 0.000 0.126 x4
Nd 0.000 0.500 0.000 x2
Ag 0.000 0.197 0.330 x8
Ge 0.000 0.320 0.500 x4
Ge 0.000 0.500 0.219 x4

Properties
VASP energy = -99.83 eV/cell
Crystal system = orthorhombic

14.
Below is an optimized crystal structure of YZn2Ir, with properties calculated at the PBE level.

Unit cell a=6.576 b=6.576 c=6.576 alpha=90.00 beta=90.00 gamma=90.00
Space group F-43m (No. 216)
Inequivalent atoms, fractional coordinates:
Y 0.000 0.000 0.000 x4
Zn 0.000 0.000 0.500 x4
Zn 0.250 0.250 0.250 x4
Ir 0.250 0.250 0.750 x4

Properties
VASP energy = -76.38 eV/cell
Energy of formation = -0.31 eV per atom
Crystal system = cubic

15.
Below is an optimized crystal structure of CsGdCoSe3, with properties calculated at the PBE level.

Unit cell a=10.987 b=4.139 c=15.936 alpha=90.00 beta=90.00 gamma=90.00
Space group Pnma (No. 62)
Inequivalent atoms, fractional coordinates:
Cs 0.248 0.250 0.012 x4
Gd 0.005 0.750 0.250 x4
Co 0.245 0.750 0.786 x4
Se 0.062 0.750 0.868 x4
Se 0.071 0.250 0.368 x4
Se 0.245 0.250 0.699 x4

Properties
Distance to the lowest polymorph of the same formula = 4 meV per atom
VASP energy = -120.49 eV/cell
Crystal system = orthorhombic

16.
Below is an optimized crystal structure of La2PrSi2Ni4Ge2, with properties calculated at the PBE level.

Unit cell a=4.150 b=4.157 c=23.961 alpha=90.00 beta=90.00 gamma=90.00
Space group Immm (No. 71)
Inequivalent atoms, fractional coordinates:
La 0.000 0.000 0.151 x4
Pr 0.000 0.500 0.500 x2
Si 0.000 0.000 0.298 x4
Ni 0.000 0.000 0.396 x4
Ni 0.000 0.500 0.251 x4
Ge 0.000 0.500 0.054 x4

Properties
VASP energy = -130.66 eV/cell
Crystal system = orthorhombic

17.
Below is an optimized crystal structure of Np2S, with properties calculated at the PBE level.

Unit cell a=6.559 b=6.559 c=3.702 alpha=90.00 beta=90.00 gamma=90.00
Space group P4_2/mnm (No. 136)
Inequivalent atoms, fractional coordinates:
Np 0.213 0.213 0.000 x4
S 0.000 0.000 0.500 x2

Properties
VASP energy = -61.09 eV/cell
Crystal system = tetragonal

18.
Below is an optimized crystal structure of BaRe2Mo, with properties calculated at the PBE level.

Unit cell a=6.664 b=6.664 c=6.664 alpha=90.00 beta=90.00 gamma=90.00
Space group F-43m (No. 216)
Inequivalent atoms, fractional coordinates:
Ba 0.000 0.000 0.000 x4
Re 0.000 0.000 0.500 x4
Re 0.250 0.250 0.750 x4
Mo 0.250 0.250 0.250 x4

Properties
VASP energy = -128.86 eV/cell
Crystal system = cubic

19.
Below is an optimized crystal structure of YCdInCo, with properties calculated at the PBE level.

Unit cell a=6.870 b=6.870 c=6.870 alpha=90.00 beta=90.00 gamma=90.00
Space group F-43m (No. 216)
Inequivalent atoms, fractional coordinates:
Y 0.000 0.000 0.000 x4
Cd 0.250 0.250 0.750 x4
In 0.250 0.250 0.250 x4
Co 0.000 0.000 0.500 x4

Properties
Distance to the lowest polymorph of the same formula = 44 meV per atom
VASP energy = -68.89 eV/cell
Crystal system = cubic

20.
Below is an optimized crystal structure of BeAgGeAu, with properties calculated at the PBE level.

Unit cell a=6.349 b=6.349 c=6.349 alpha=90.00 beta=90.00 gamma=90.00
Space group F-43m (No. 216)
Inequivalent atoms, fractional coordinates:
Be 0.000 0.000 0.000 x4
Ag 0.250 0.250 0.250 x4
Ge 0.000 0.000 0.500 x4
Au 0.250 0.250 0.750 x4

Properties
Distance to the lowest polymorph of the same formula = 0 meV per atom
VASP energy = -53.52 eV/cell
Crystal system = cubic